Density functional theory data (PBE) for a relaxed structure of Nb2VW6.

Cell: 7.9367 7.9367 2.7000 Å, 94.22 94.22 62.23°
With the nearest neighbours (Å) after each atom.
Fractional positions:
Nb (0.1674, 0.1674, 0.4878)  2 Nb 2.70, 6 W 2.84-2.92
Nb (0.8326, 0.8326, 0.5122)  2 Nb 2.70, 6 W 2.84-2.92
V (0.5000, 0.5000, 0.5000)  2 V 2.70, 8 W 2.70-2.97
W (0.1663, 0.5042, 0.1944)  5 W 2.66-2.80, 1 V 2.70, 2 Nb 2.84-2.85
W (0.1776, 0.8224, 0.0000)  5 W 2.66-2.91, 2 Nb 2.92, 2 V 2.97
W (0.4958, 0.8337, 0.8056)  5 W 2.66-2.80, 1 V 2.70, 2 Nb 2.84-2.85
W (0.5042, 0.1663, 0.1944)  5 W 2.66-2.80, 1 V 2.70, 2 Nb 2.84-2.85
W (0.8224, 0.1776, 0.0000)  5 W 2.66-2.91, 2 Nb 2.92, 2 V 2.97
W (0.8337, 0.4958, 0.8056)  5 W 2.66-2.80, 1 V 2.70, 2 Nb 2.84-2.85

Computed properties:
- energy relative to the elements (kcal/mol of atoms) = 4.41
- symmetry = C2/m (12)
- N(E_F) (states/eV/cell) = 7.26
- final energy (eV/cell) = -105.26
- ΔE to the lowest computed polymorph (meV per atom) = 0

---

Density functional theory data (PBE) for a relaxed structure of Nb3V8W.

Cell: 5.0695 5.0695 8.0965 Å, 90.00 90.00 120.00°
With the nearest neighbours (Å) after each atom.
Fractional positions:
Nb (0.0000, 0.0000, 0.0000)  12 V 2.92-2.97, 4 Nb 3.07-3.10
Nb (0.0000, 0.0000, 0.3795)  12 V 2.87-2.97, 1 Nb 3.07, 3 W 3.09
Nb (0.3333, 0.6667, 0.8748)  12 V 2.94-2.97, 1 W 3.04, 3 Nb 3.10
V (0.0058, 0.5029, 0.1922)  6 V 2.49-2.58
V (0.3283, 0.1642, 0.6862)  6 V 2.49-2.57
V (0.4971, 0.5029, 0.1922)  6 V 2.49-2.58
V (0.4971, 0.9942, 0.1922)  6 V 2.49-2.58
V (0.6667, 0.3333, 0.4395)  6 V 2.49-2.50
V (0.6667, 0.3333, 0.9386)  6 V 2.53-2.54
V (0.8358, 0.1642, 0.6862)  6 V 2.49-2.57
V (0.8358, 0.6717, 0.6862)  6 V 2.49-2.57
W (0.3333, 0.6667, 0.4999)  12 V 2.88-2.97, 4 Nb 3.04-3.09

Computed properties:
- energy relative to the elements (kcal/mol of atoms) = -1.49
- symmetry = P3m1 (156)
- N(E_F) (states/eV/cell) = 8.65
- final energy (eV/cell) = -116.89